Entry one
## LiPd3O (PBE-GGA)

Data for LiPd3O after structural relaxation.

a = 4.204 Å, b = 4.204 Å, c = 4.204 Å
α = 90.00°, β = 90.00°, γ = 90.00°
Fractional coordinates of all 5 atoms:
Li 0.000 0.000 0.000
Pd 0.000 0.500 0.500
Pd 0.500 0.000 0.500
Pd 0.500 0.500 0.000
O 0.500 0.500 0.500

Computed properties:
Size of the total moment: 0.0 Bohr magnetons per cell
Fermi-level density of states: 3.41 states/eV/f.u.
Calculated volume: 14.86 Å³ per atom


Entry two
## LiPd3O (PBE-GGA)

Data for LiPd3O after structural relaxation.

a = 4.245 Å, b = 4.245 Å, c = 4.245 Å
α = 90.00°, β = 90.00°, γ = 90.00°
Fractional coordinates of all 5 atoms:
Li 0.000 0.000 0.000
Pd 0.000 0.000 0.500
Pd 0.000 0.500 0.000
Pd 0.500 0.000 0.000
O 0.500 0.500 0.500

Computed properties:
Size of the total moment: 1.3 Bohr magnetons per cell
Fermi-level density of states: 6.06 states/eV/f.u.
Calculated volume: 15.30 Å³ per atom


Most stable: entry one (next structure +1089 meV per atom)


Entry one
## LiSc2PdO (PBE-GGA)

Data for LiSc2PdO after structural relaxation.

a = 5.000 Å, b = 5.000 Å, c = 4.334 Å
α = 90.00°, β = 90.00°, γ = 90.00°
Fractional coordinates of all 5 atoms:
Li 0.000 0.000 0.000
Sc 0.000 0.500 0.500
Sc 0.500 0.000 0.500
Pd 0.000 0.000 0.500
O 0.500 0.500 0.000

Computed properties:
Size of the total moment: 0.0 Bohr magnetons per cell
Fermi-level density of states: 4.56 states/eV/f.u.
Calculated volume: 21.67 Å³ per atom


Entry two
## LiSc2PdO (PBE-GGA)

Data for LiSc2PdO after structural relaxation.

a = 4.399 Å, b = 4.399 Å, c = 3.834 Å
α = 90.00°, β = 90.00°, γ = 90.00°
Fractional coordinates of all 5 atoms:
Li 0.000 0.000 0.000
Sc 0.000 0.500 0.500
Sc 0.500 0.000 0.500
Pd 0.500 0.500 0.000
O 0.000 0.000 0.500

Computed properties:
Size of the total moment: 0.0 Bohr magnetons per cell
Fermi-level density of states: 2.57 states/eV/f.u.
Calculated volume: 14.84 Å³ per atom


Most stable: entry two (next structure +1562 meV per atom)


Entry one
## LiPmO2 (PBE-GGA)

Data for LiPmO2 after structural relaxation.

a = 5.498 Å, b = 5.498 Å, c = 5.498 Å
α = 37.22°, β = 37.22°, γ = 37.22°
Fractional coordinates of all 4 atoms:
Li 0.000 0.000 0.000
Pm 0.500 0.500 0.500
O 0.247 0.247 0.247
O 0.753 0.753 0.753

Computed properties:
Size of the total moment: 0.0 Bohr magnetons per cell
Fermi-level density of states: 0.00 states/eV/f.u.
Calculated volume: 13.63 Å³ per atom


Entry two
## LiPmO2 (PBE-GGA)

Data for LiPmO2 after structural relaxation.

a = 6.534 Å, b = 6.177 Å, c = 6.726 Å
α = 90.00°, β = 120.55°, γ = 90.00°
Fractional coordinates of all 16 atoms:
Li 0.189 0.165 0.283
Li 0.189 0.335 0.783
Li 0.811 0.665 0.217
Li 0.811 0.835 0.717
Pm 0.276 0.635 0.241
Pm 0.276 0.865 0.741
Pm 0.724 0.135 0.259
Pm 0.724 0.365 0.759
O 0.054 0.605 0.819
O 0.054 0.895 0.319
O 0.473 0.191 0.853
O 0.473 0.309 0.353
O 0.527 0.691 0.647
O 0.527 0.809 0.147
O 0.946 0.105 0.681
O 0.946 0.395 0.181

Computed properties:
Size of the total moment: 0.0 Bohr magnetons per cell
Fermi-level density of states: 0.00 states/eV/f.u.
Calculated volume: 14.61 Å³ per atom


Most stable: entry two (next structure +136 meV per atom)


Entry one
## LiPmO (PBE-GGA)

Data for LiPmO after structural relaxation.

a = 7.046 Å, b = 7.046 Å, c = 7.046 Å
α = 152.93°, β = 152.93°, γ = 38.66°
Fractional coordinates of all 3 atoms:
Li 0.000 0.000 0.000
Pm 0.324 0.324 0.000
O 0.477 0.477 0.000

Computed properties:
Size of the total moment: 0.0 Bohr magnetons per cell
Fermi-level density of states: 1.37 states/eV/f.u.
Calculated volume: 24.10 Å³ per atom


Entry two
## LiPmO (PBE-GGA)

Data for LiPmO after structural relaxation.

a = 6.374 Å, b = 6.374 Å, c = 6.012 Å
α = 116.48°, β = 116.48°, γ = 37.43°
Fractional coordinates of all 6 atoms:
Li 0.000 0.000 0.000
Li 0.501 0.501 0.284
Pm 0.337 0.337 0.616
Pm 0.704 0.704 0.968
O 0.522 0.522 0.984
O 0.817 0.817 0.753

Computed properties:
Size of the total moment: 0.0 Bohr magnetons per cell
Fermi-level density of states: 0.82 states/eV/f.u.
Calculated volume: 21.83 Å³ per atom


Most stable: entry two (next structure +511 meV per atom)